(i)
A plane-wave DFT calculation with GGA-PBE was carried out for a relaxed structure of Ta2TeMo2.

Calculated values
- calculated density (g/cm3) = 11.8
- magnetization (μB/atom) = 0.000

Cell and atoms, written as POSCAR:
```
Ta2TeMo2
1.0
7.7104 0.0000 0.0000
0.0000 7.7104 0.0000
0.0000 0.0000 3.2327
Ta Te Mo
4 2 4
direct
0.1444 0.3556 0.0000 Ta
0.3556 0.8556 0.0000 Ta
0.6444 0.1444 0.0000 Ta
0.8556 0.6444 0.0000 Ta
0.0000 0.0000 0.5000 Te
0.5000 0.5000 0.5000 Te
0.1417 0.6417 0.5000 Mo
0.3583 0.1417 0.5000 Mo
0.6417 0.8583 0.5000 Mo
0.8583 0.3583 0.5000 Mo
```

(ii)
A plane-wave DFT calculation with GGA-PBE was carried out for a relaxed structure of Ta2TeMo2.

Calculated values
- calculated density (g/cm3) = 10.9
- magnetization (μB/atom) = 0.000

Cell and atoms, written as POSCAR:
```
Ta2TeMo2
1.0
-2.1031 2.1031 5.8583
2.1031 -2.1031 5.8583
2.1031 2.1031 -5.8583
Ta Te Mo
2 1 2
direct
0.2500 0.7500 0.5000 Ta
0.7500 0.2500 0.5000 Ta
0.0000 0.0000 0.0000 Te
0.3894 0.3894 0.0000 Mo
0.6106 0.6106 0.0000 Mo
```

Result of the stability comparison: (ii) is the least stable of them.

(i)
A plane-wave DFT calculation with GGA-PBE was carried out for a relaxed structure of Ta3TeMo.

Calculated values
- calculated density (g/cm3) = 10.6
- magnetization (μB/atom) = 0.237

Cell and atoms, written as POSCAR:
```
Ta3TeMo
1.0
4.9333 0.0000 0.0000
0.0000 4.9333 0.0000
0.0000 0.0000 4.9333
Ta Te Mo
3 1 1
direct
0.0000 0.0000 0.5000 Ta
0.0000 0.5000 0.0000 Ta
0.5000 0.0000 0.0000 Ta
0.0000 0.0000 0.0000 Te
0.5000 0.5000 0.5000 Mo
```

(ii)
A plane-wave DFT calculation with GGA-PBE was carried out for a relaxed structure of Ta3TeMo.

Calculated values
- calculated density (g/cm3) = 10.9
- magnetization (μB/atom) = 0.000

Cell and atoms, written as POSCAR:
```
Ta3TeMo
1.0
4.8908 0.0000 0.0000
0.0000 4.8908 0.0000
0.0000 0.0000 4.8908
Ta Te Mo
3 1 1
direct
0.0000 0.0000 0.5000 Ta
0.0000 0.5000 0.0000 Ta
0.5000 0.0000 0.0000 Ta
0.5000 0.5000 0.5000 Te
0.0000 0.0000 0.0000 Mo
```

Result of the stability comparison: (i) is the least stable of them.

(i)
A plane-wave DFT calculation with GGA-PBE was carried out for a relaxed structure of TaTe3Mo.

Calculated values
- calculated density (g/cm3) = 7.7
- magnetization (μB/atom) = 0.000

Cell and atoms, written as POSCAR:
```
TaTe3Mo
1.0
9.2661 -1.6149 0.0000
9.2661 1.6149 0.0000
-3.6669 0.0000 9.5077
Ta Te Mo
2 6 2
direct
0.0668 0.0668 0.2182 Ta
0.9332 0.9332 0.7818 Ta
0.0766 0.0766 0.7535 Te
0.1892 0.1892 0.1216 Te
0.3584 0.3584 0.5495 Te
0.6416 0.6416 0.4505 Te
0.8108 0.8108 0.8784 Te
0.9234 0.9234 0.2465 Te
0.4376 0.4376 0.0297 Mo
0.5624 0.5624 0.9703 Mo
```

(ii)
A plane-wave DFT calculation with GGA-PBE was carried out for a relaxed structure of TaTe3Mo.

Calculated values
- calculated density (g/cm3) = 9.3
- magnetization (μB/atom) = 0.000

Cell and atoms, written as POSCAR:
```
TaTe3Mo
1.0
6.8672 -5.7466 0.0000
6.8672 5.7466 0.0000
-1.0845 0.0000 5.9881
Ta Te Mo
4 12 4
direct
0.0564 0.9436 0.7500 Ta
0.2023 0.7977 0.2500 Ta
0.7977 0.2023 0.7500 Ta
0.9436 0.0564 0.2500 Ta
0.0695 0.6229 0.8605 Te
0.0828 0.2284 0.6408 Te
0.2284 0.0828 0.1408 Te
0.3034 0.5268 0.4642 Te
0.3771 0.9305 0.6395 Te
0.4732 0.6966 0.0357 Te
0.5268 0.3034 0.9642 Te
0.6229 0.0695 0.3605 Te
0.6966 0.4732 0.5357 Te
0.7716 0.9172 0.8592 Te
0.9172 0.7716 0.3592 Te
0.9305 0.3771 0.1395 Te
0.2392 0.3763 0.0644 Mo
0.3763 0.2392 0.5644 Mo
0.6237 0.7608 0.4356 Mo
0.7608 0.6237 0.9356 Mo
```

(iii)
A plane-wave DFT calculation with GGA-PBE was carried out for a relaxed structure of TaTe3Mo.

Calculated values
- calculated density (g/cm3) = 6.9
- magnetization (μB/atom) = 0.958

Cell and atoms, written as POSCAR:
```
TaTe3Mo
1.0
5.4064 0.0000 0.0000
0.0000 5.4064 0.0000
0.0000 0.0000 5.4064
Ta Te Mo
1 3 1
direct
0.0000 0.0000 0.0000 Ta
0.0000 0.0000 0.5000 Te
0.0000 0.5000 0.0000 Te
0.5000 0.0000 0.0000 Te
0.5000 0.5000 0.5000 Mo
```

Result of the stability comparison: (iii) is the least stable of them.